No. 1
A relaxed Er4Pd3Pt2 crystal. Source: Alexandria via LeMat-Bulk, functional PBE.

Structure (POSCAR):
```
Er4Pd3Pt2
1.0
4.0899 -2.3672 0.0000
4.0899 2.3672 0.0000
-0.0368 0.0000 9.4802
Er Pd Pt
4 3 2
direct
0.0015 0.0015 0.3336 Er
0.3331 0.3331 0.8882 Er
0.6669 0.6669 0.1118 Er
0.9985 0.9985 0.6664 Er
0.0000 0.0000 0.0000 Pd
0.3329 0.3329 0.5153 Pd
0.6671 0.6671 0.4847 Pd
0.3337 0.3337 0.1982 Pt
0.6663 0.6663 0.8018 Pt
```

Properties
Energy of formation = -998 meV/atom
Space group = C2/m (12)



No. 2
A relaxed Er6Pd5Pt crystal. Source: Alexandria via LeMat-Bulk, functional PBE.

Structure (POSCAR):
```
Er6Pd5Pt
1.0
3.5172 -6.0793 0.0000
3.5172 6.0793 0.0000
-2.3309 0.0000 6.5632
Er Pd Pt
6 5 1
direct
0.0812 0.4110 0.7457 Er
0.2445 0.2445 0.2478 Er
0.4110 0.0812 0.7457 Er
0.5890 0.9188 0.2543 Er
0.7555 0.7555 0.7522 Er
0.9188 0.5890 0.2543 Er
0.1699 0.8301 0.0000 Pd
0.3352 0.6648 0.5000 Pd
0.5000 0.5000 0.0000 Pd
0.6648 0.3352 0.5000 Pd
0.8301 0.1699 0.0000 Pd
0.0000 0.0000 0.5000 Pt
```

Properties
Offset from the most stable computed form = 162.3 meV per atom
Energy of formation = -824 meV/atom
Space group = C2/m (12)



No. 3
A relaxed ErPd2Pt2 crystal. Source: Alexandria via LeMat-Bulk, functional PBE.

Structure (POSCAR):
```
ErPd2Pt2
1.0
-2.4773 2.4773 4.0855
2.4773 -2.4773 4.0855
2.4773 2.4773 -4.0855
Er Pd Pt
1 2 2
direct
0.0000 0.0000 0.0000 Er
0.3460 0.3460 0.0000 Pd
0.6540 0.6540 0.0000 Pd
0.2500 0.7500 0.5000 Pt
0.7500 0.2500 0.5000 Pt
```

Properties
Offset from the most stable computed form = 124.0 meV per atom
Energy of formation = -255 meV/atom
Space group = I4/mmm (139)



No. 4
A relaxed Er3Pd5Pt crystal. Source: Alexandria via LeMat-Bulk, functional PBE.

Structure (POSCAR):
```
Er3Pd5Pt
1.0
8.0437 0.0000 0.0000
0.0000 5.6577 0.0000
-2.9269 0.0000 7.5119
Er Pd Pt
6 10 2
direct
0.0248 0.2500 0.3517 Er
0.3058 0.7500 0.3058 Er
0.3515 0.2500 0.0254 Er
0.6485 0.7500 0.9746 Er
0.6942 0.2500 0.6942 Er
0.9752 0.7500 0.6483 Er
0.0531 0.2500 0.7165 Pd
0.2837 0.7500 0.9474 Pd
0.3338 0.0002 0.6669 Pd
0.3338 0.4998 0.6669 Pd
0.3901 0.2500 0.3902 Pd
0.6099 0.7500 0.6098 Pd
0.6662 0.9998 0.3331 Pd
0.6662 0.5002 0.3331 Pd
0.7163 0.2500 0.0526 Pd
0.9469 0.7500 0.2835 Pd
0.0000 0.0000 0.0000 Pt
0.0000 0.5000 0.0000 Pt
```

Properties
Energy of formation = -964 meV/atom
Space group = P2_1/m (11)



no.,volume (Å³ per atom),calculated total energy (eV/cell)
1,20.40,-54.9
2,23.39,-69.3
3,20.06,-28.3
4,18.99,-108.7